Here is an optimized crystal structure of ScV4Ir from the Alexandria database. Energies are from PBE-GGA.

## Properties
The total magnetic moment comes out at 0.0 μB/cell. The calculated formation energy comes out at -151 meV per atom. The value obtained for the total energy is -8.762 eV/atom. The density of states at the Fermi level is 4.7 states/eV/f.u.

```
ScV4Ir
1.0
-0.876 1.352 -4.732
-3.945 -1.860 -2.441
-3.889 2.949 -1.078
Sc Ir V
1 1 4
Direct
0.000 0.000 0.000 Sc
0.250 0.250 0.250 Ir
0.625 0.625 0.124 V
0.625 0.124 0.625 V
0.625 0.625 0.625 V
0.124 0.625 0.625 V
```